[1]
Density functional theory data (PBE) for a relaxed structure of ScTc2Rh.

Calculated values
Total DFT energy (no corrections), eV for the cell shown: -34.2
E_form, eV per atom: 0.055
Space group: P4/mmm

Unit cell a=4.518 b=4.518 c=3.045 alpha=90.00 beta=90.00 gamma=90.00
Element x y z (fractional)
Sc  0.000  0.000  0.000
Tc  0.000  0.500  0.500
Tc  0.500  0.000  0.500
Rh  0.500  0.500  0.000

---

[2]
Density functional theory data (PBE) for a relaxed structure of AcB2Rh3.

Calculated values
Total DFT energy (no corrections), eV for the cell shown: -83.7
E_form, eV per atom: -0.389
Space group: Cmcm

Unit cell a=5.828 b=5.828 c=5.479 alpha=90.00 beta=90.00 gamma=83.39
Element x y z (fractional)
Ac  0.149  0.851  0.750
Ac  0.851  0.149  0.250
B  0.304  0.304  0.000
B  0.304  0.304  0.500
B  0.696  0.696  0.000
B  0.696  0.696  0.500
Rh  0.040  0.390  0.750
Rh  0.390  0.040  0.250
Rh  0.449  0.551  0.250
Rh  0.551  0.449  0.750
Rh  0.610  0.960  0.750
Rh  0.960  0.610  0.250

---

Number 1: total magnetization 0.000 μB per atom. Number 2: total magnetization 0.000 μB per atom.